# Sr2NiGe2Rh

A relaxed structure of Sr2NiGe2Rh (PBE, the Alexandria database).

* VASP energy: -4.865 eV/atom
* mass density: 5.46 g/cm³
* formation energy from the elements: -0.577 eV per atom

abc: 5.791 5.923 9.506
angles: 108.15 107.73 90.00
Fractional coordinates of all 12 atoms:
Sr  0.597  0.846  0.691
Sr  0.094  0.346  0.691
Sr  0.403  0.154  0.309
Sr  0.906  0.654  0.309
Ge  0.814  0.076  0.153
Ge  0.338  0.576  0.153
Ge  0.662  0.424  0.847
Ge  0.186  0.924  0.847
Ni  0.500  0.250  0.000
Ni  0.500  0.750  0.000
Rh  0.000  0.750  0.000
Rh  0.000  0.250  0.000